(i)
Gd2DyEr after structural relaxation, computed with PBE.

Output
The theoretical density is 8.461 g/cm³. As for the magnetic moment: 14.5 μB/f.u. Its space-group type is P4/mmm, No. 123.

abc: 5.023 5.023 5.012
angles: 90.00 90.00 90.00
Fractional coordinates of all 4 atoms:
1 Gd 0.000 0.500 0.000
2 Gd 0.500 0.000 0.000
3 Dy 0.000 0.000 0.500
4 Er 0.500 0.500 0.500



(ii)
Gd2DyEr after structural relaxation, computed with PBE.

Output
The theoretical density is 8.357 g/cm³. As for the magnetic moment: 15.9 μB/f.u. Its space-group type is Fm-3m, No. 225.

abc: 5.657 5.657 5.657
angles: 60.00 60.00 60.00
Fractional coordinates of all 4 atoms:
1 Gd 0.250 0.250 0.250
2 Gd 0.750 0.750 0.750
3 Dy 0.000 0.000 0.000
4 Er 0.500 0.500 0.500



Decreasing stability: (i), (ii)



(i)
Dy2ErH after structural relaxation, computed with PBE.

Output
The theoretical density is 8.746 g/cm³. As for the magnetic moment: 0.0 μB/f.u. Its space-group type is R-3m, No. 166.

abc: 8.669 8.669 8.669
angles: 23.86 23.86 23.86
Fractional coordinates of all 4 atoms:
1 Dy 0.221 0.221 0.221
2 Dy 0.779 0.779 0.779
3 Er 0.000 0.000 0.000
4 H 0.500 0.500 0.500



(ii)
Dy2ErH after structural relaxation, computed with PBE.

Output
The theoretical density is 8.758 g/cm³. As for the magnetic moment: 0.0 μB/f.u. Its space-group type is P4/mmm, No. 123.

abc: 3.337 3.337 8.398
angles: 90.00 90.00 90.00
Fractional coordinates of all 4 atoms:
1 Dy 0.000 0.000 0.193
2 Dy 0.000 0.000 0.807
3 Er 0.500 0.500 0.500
4 H 0.500 0.500 0.000



Decreasing stability: (i), (ii)



(i)
Dy2ErHf after structural relaxation, computed with PBE.

Output
The theoretical density is 9.743 g/cm³. As for the magnetic moment: 0.0 μB/f.u. Its space-group type is R-3m, No. 166.

abc: 12.082 12.082 12.082
angles: 15.83 15.83 15.83
Fractional coordinates of all 4 atoms:
1 Dy 0.087 0.087 0.087
2 Dy 0.913 0.913 0.913
3 Er 0.500 0.500 0.500
4 Hf 0.000 0.000 0.000



(ii)
Dy2ErHf after structural relaxation, computed with PBE.

Output
The theoretical density is 9.773 g/cm³. As for the magnetic moment: 0.0 μB/f.u. Its space-group type is P4/mmm, No. 123.

abc: 3.978 3.978 7.202
angles: 90.00 90.00 90.00
Fractional coordinates of all 4 atoms:
1 Dy 0.000 0.000 0.225
2 Dy 0.000 0.000 0.775
3 Er 0.500 0.500 0.500
4 Hf 0.500 0.500 0.000



Decreasing stability: (ii), (i)



(i)
Dy2ErHf after structural relaxation, computed with PBE.

Output
The theoretical density is 9.906 g/cm³. As for the magnetic moment: 0.0 μB/f.u. Its space-group type is P4/mmm, No. 123.

abc: 4.832 4.832 4.816
angles: 90.00 90.00 90.00
Fractional coordinates of all 4 atoms:
1 Dy 0.000 0.500 0.000
2 Dy 0.500 0.000 0.000
3 Er 0.000 0.000 0.500
4 Hf 0.500 0.500 0.500



(ii)
Dy2ErHf after structural relaxation, computed with PBE.

Output
The theoretical density is 9.821 g/cm³. As for the magnetic moment: 0.0 μB/f.u. Its space-group type is R3m, No. 160.

abc: 11.300 11.300 11.300
angles: 17.46 17.46 17.46
Fractional coordinates of all 4 atoms:
1 Dy 0.000 0.000 0.000
2 Dy 0.176 0.176 0.176
3 Er 0.755 0.755 0.755
4 Hf 0.588 0.588 0.588



Decreasing stability: (ii), (i)



(i)
DyEr2Hf after structural relaxation, computed with PBE.

Output
The theoretical density is 9.965 g/cm³. As for the magnetic moment: 0.0 μB/f.u. Its space-group type is R3m, No. 160.

abc: 11.267 11.267 11.267
angles: 17.48 17.48 17.48
Fractional coordinates of all 4 atoms:
1 Dy 0.000 0.000 0.000
2 Er 0.245 0.245 0.245
3 Er 0.422 0.422 0.422
4 Hf 0.834 0.834 0.834



(ii)
DyEr2Hf after structural relaxation, computed with PBE.

Output
The theoretical density is 10.050 g/cm³. As for the magnetic moment: 0.0 μB/f.u. Its space-group type is P4/mmm, No. 123.

abc: 4.812 4.812 4.821
angles: 90.00 90.00 90.00
Fractional coordinates of all 4 atoms:
1 Dy 0.000 0.000 0.000
2 Er 0.000 0.500 0.500
3 Er 0.500 0.000 0.500
4 Hf 0.500 0.500 0.000



Decreasing stability: (i), (ii)



(i)
DyEr2Hg after structural relaxation, computed with PBE.

Output
The theoretical density is 10.243 g/cm³. As for the magnetic moment: 0.0 μB/f.u. Its space-group type is P4/mmm, No. 123.

abc: 3.570 3.570 8.875
angles: 90.00 90.00 90.00
Fractional coordinates of all 4 atoms:
1 Dy 0.000 0.000 0.000
2 Er 0.500 0.500 0.277
3 Er 0.500 0.500 0.723
4 Hg 0.000 0.000 0.500



(ii)
DyEr2Hg after structural relaxation, computed with PBE.

Output
The theoretical density is 9.888 g/cm³. As for the magnetic moment: 0.4 μB/f.u. Its space-group type is Cmcm, No. 63.

abc: 6.458 6.458 7.953
angles: 90.00 90.00 135.07
Fractional coordinates of all 8 atoms:
1 Dy 0.053 0.947 0.750
2 Dy 0.947 0.053 0.250
3 Er 0.361 0.639 0.539
4 Er 0.361 0.639 0.961
5 Er 0.639 0.361 0.039
6 Er 0.639 0.361 0.461
7 Hg 0.210 0.790 0.250
8 Hg 0.790 0.210 0.750



Decreasing stability: (i), (ii)



(i)
DyEr2Hg after structural relaxation, computed with PBE.

Output
The theoretical density is 10.630 g/cm³. As for the magnetic moment: 0.4 μB/f.u. Its space-group type is P4/mmm, No. 123.

abc: 4.784 4.784 4.762
angles: 90.00 90.00 90.00
Fractional coordinates of all 4 atoms:
1 Dy 0.000 0.000 0.000
2 Er 0.000 0.500 0.500
3 Er 0.500 0.000 0.500
4 Hg 0.500 0.500 0.000



(ii)
DyEr2Hg after structural relaxation, computed with PBE.

Output
The theoretical density is 9.971 g/cm³. As for the magnetic moment: 0.0 μB/f.u. Its space-group type is R-3m, No. 166.

abc: 10.692 10.692 10.692
angles: 19.25 19.25 19.25
Fractional coordinates of all 4 atoms:
1 Dy 0.000 0.000 0.000
2 Er 0.243 0.243 0.243
3 Er 0.757 0.757 0.757
4 Hg 0.500 0.500 0.500



Decreasing stability: (ii), (i)



(i)
DyEr2Hg2 after structural relaxation, computed with PBE.

Output
The theoretical density is 9.538 g/cm³. As for the magnetic moment: 0.0 μB/f.u. Its space-group type is C2/c, No. 15.

abc: 6.504 6.504 9.116
angles: 100.33 100.33 119.74
Fractional coordinates of all 10 atoms:
1 Dy 0.125 0.875 0.750
2 Dy 0.875 0.125 0.250
3 Er 0.273 0.524 0.046
4 Er 0.476 0.727 0.454
5 Er 0.524 0.273 0.546
6 Er 0.727 0.476 0.954
7 Hg 0.153 0.847 0.250
8 Hg 0.404 0.596 0.750
9 Hg 0.596 0.404 0.250
10 Hg 0.847 0.153 0.750



(ii)
DyEr2Hg2 after structural relaxation, computed with PBE.

Output
The theoretical density is 11.269 g/cm³. As for the magnetic moment: 0.0 μB/f.u. Its space-group type is P2_1/m, No. 11.

abc: 3.720 5.263 13.649
angles: 90.00 97.88 90.00
Fractional coordinates of all 10 atoms:
1 Dy 0.147 0.250 0.293
2 Dy 0.853 0.750 0.707
3 Er 0.047 0.750 0.095
4 Er 0.236 0.750 0.472
5 Er 0.764 0.250 0.528
6 Er 0.953 0.250 0.905
7 Hg 0.356 0.250 0.712
8 Hg 0.453 0.750 0.906
9 Hg 0.547 0.250 0.094
10 Hg 0.644 0.750 0.288



Decreasing stability: (ii), (i)